A plane-wave DFT calculation with PBE+U was carried out for a geometry-optimized Li6MnF8 structure.

Results
Final energy in eV/atom: -5.093
Symmetry: No. 225

Cell lengths 5.952, 5.952, 5.952 Å; angles 60.00, 60.00, 60.00 degrees
Last column: magnetic moment on the atom in μB.
Positions (direct):
Li 0.000 0.500 0.500  0.00
F 0.247 0.247 0.753  0.03
F 0.753 0.753 0.247  0.03
F 0.753 0.247 0.247  0.03
Li 0.500 0.500 0.000  0.00
F 0.250 0.250 0.250  0.00
Li 0.500 0.000 0.500  0.00
Li 0.000 0.500 0.000  0.00
Li 0.000 0.000 0.500  0.00
Mn 0.000 0.000 0.000  4.66
F 0.750 0.750 0.750  0.00
Li 0.500 0.000 0.000  0.00
F 0.247 0.753 0.247  0.03
F 0.753 0.247 0.753  0.03
F 0.247 0.753 0.753  0.03